First-principles (PBE with a Hubbard U) data for a relaxed NaVF2 crystal, as listed in Alexandria via LeMat-Bulk.

Geometry as POSCAR:
```
NaVF2
1.0
3.4395 0.0000 0.0000
-1.7198 2.9787 0.0000
0.0000 0.0000 20.8597
Na V F
3 3 6
Direct
0.0000 0.0000 0.0000
0.3333 0.6667 0.6667
0.6667 0.3333 0.3333
0.0000 0.0000 0.5000
0.3333 0.6667 0.1667
0.6667 0.3333 0.8333
0.0000 0.0000 0.1236
0.0000 0.0000 0.8764
0.3333 0.6667 0.5431
0.3333 0.6667 0.7902
0.6667 0.3333 0.2098
0.6667 0.3333 0.4569
```

## Properties
ΔE to the lowest computed polymorph   0.00 eV/f.u.
SG   R-3m, No. 166